The following is a DFT calculation (PBE) of an optimized crystal structure of CoReOs.

Cell and atoms, written as extended XYZ:
```
3
Lattice="0.000 2.882 2.882 2.882 0.000 2.882 2.882 2.882 0.000" Properties=species:S:1:pos:R:3 pbc="T T T"
Co 0.000 0.000 0.000
Re 1.441 1.441 1.441
Os 2.882 2.882 2.882
```

Calculated values
SG: F-43m (216)
Energy relative to the elements (eV per atom): 0.557
Uncorrected energy (eV/atom): -9.705
Polymorph energy (0 for the lowest one) (eV/atom): 0.493
Fermi-level density of states (states/eV/cell): 1.689